*one*
! Pm2Ga3Tc | the Alexandria database | PBE | relaxed; values from VASP
! symmetry: Cmcm
! N(E_F): 7.62 states/eV per cell
&SYSTEM
  ibrav = 0, nat = 12, ntyp = 3
/
ATOMIC_SPECIES
Pm 145.00 Pm.upf
Ga 69.72 Ga.upf
Tc 98.00 Tc.upf
CELL_PARAMETERS angstrom
5.481 0.000 0.000
0.000 7.148 0.327
0.000 -2.143 6.827
ATOMIC_POSITIONS crystal
Pm 0.750 0.550 0.835
Pm 0.250 0.165 0.450
Pm 0.250 0.450 0.165
Pm 0.750 0.835 0.550
Ga 0.000 0.174 0.826
Ga 0.500 0.174 0.826
Ga 0.250 0.627 0.627
Ga 0.750 0.373 0.373
Ga 0.500 0.826 0.174
Ga 0.000 0.826 0.174
Tc 0.250 0.909 0.909
Tc 0.750 0.091 0.091

*two*
! Pm2Ga3Tc | the Alexandria database | PBE | relaxed; values from VASP
! symmetry: R-3m
! N(E_F): 4.30 states/eV per cell
&SYSTEM
  ibrav = 0, nat = 6, ntyp = 3
/
ATOMIC_SPECIES
Pm 145.00 Pm.upf
Ga 69.72 Ga.upf
Tc 98.00 Tc.upf
CELL_PARAMETERS angstrom
4.972 -0.150 -2.608
-3.163 4.635 -0.240
-0.306 0.075 5.453
ATOMIC_POSITIONS crystal
Pm 0.744 0.372 0.116
Pm 0.256 0.628 0.884
Ga 0.500 0.500 0.500
Ga 0.000 0.000 0.500
Ga 0.500 0.000 0.500
Tc 0.000 0.000 0.000

Relative calculated energies, zero for the most stable structure, unit meV per atom: *one* 178; *two* 0.

*one*
! PmGaTc | the Alexandria database | PBE | relaxed; values from VASP
! symmetry: P-6m2
! N(E_F): 2.15 states/eV per cell
&SYSTEM
  ibrav = 0, nat = 3, ntyp = 3
/
ATOMIC_SPECIES
Tc 98.00 Tc.upf
Ga 69.72 Ga.upf
Pm 145.00 Pm.upf
CELL_PARAMETERS angstrom
-3.221 -0.860 -1.932
1.474 -4.082 -0.642
-2.385 0.936 3.561
ATOMIC_POSITIONS crystal
Tc 0.167 0.667 0.333
Ga 0.167 0.000 0.000
Pm 0.667 0.333 0.667

*two*
! PmGaTc | the Alexandria database | PBE | relaxed; values from VASP
! symmetry: Imma
! N(E_F): 4.00 states/eV per cell
&SYSTEM
  ibrav = 0, nat = 6, ntyp = 3
/
ATOMIC_SPECIES
Pm 145.00 Pm.upf
Ga 69.72 Ga.upf
Tc 98.00 Tc.upf
CELL_PARAMETERS angstrom
-2.265 -3.332 3.536
0.724 -5.382 -0.545
3.105 -2.391 3.799
ATOMIC_POSITIONS crystal
Pm 0.886 0.364 0.364
Pm 0.114 0.636 0.636
Ga 0.500 0.500 0.000
Ga 0.500 0.000 0.500
Tc 0.000 0.000 0.000
Tc 0.500 0.000 0.000

Relative calculated energies, zero for the most stable structure, unit meV per atom: *one* 226; *two* 0.

*one*
! Pm2GaTe | the Alexandria database | PBE | relaxed; values from VASP
! symmetry: Fm-3m
! N(E_F): 5.61 states/eV per cell
&SYSTEM
  ibrav = 0, nat = 4, ntyp = 3
/
ATOMIC_SPECIES
Te 127.60 Te.upf
Ga 69.72 Ga.upf
Pm 145.00 Pm.upf
CELL_PARAMETERS angstrom
5.371 0.000 0.000
2.685 4.651 0.000
2.685 1.550 4.385
ATOMIC_POSITIONS crystal
Te 0.500 0.500 0.500
Ga 0.000 0.000 0.000
Pm 0.250 0.250 0.250
Pm 0.750 0.750 0.750

*two*
! Pm2GaTe | the Alexandria database | PBE | relaxed; values from VASP
! symmetry: P4/mmm
! N(E_F): 3.67 states/eV per cell
&SYSTEM
  ibrav = 0, nat = 4, ntyp = 3
/
ATOMIC_SPECIES
Te 127.60 Te.upf
Ga 69.72 Ga.upf
Pm 145.00 Pm.upf
CELL_PARAMETERS angstrom
3.747 0.000 0.000
0.000 3.747 0.000
0.000 0.000 7.765
ATOMIC_POSITIONS crystal
Te 0.500 0.500 0.000
Ga 0.500 0.500 0.500
Pm 0.000 0.000 0.744
Pm 0.000 0.000 0.256

*three*
! Pm2GaTe | the Alexandria database | PBE | relaxed; values from VASP
! symmetry: R-3m
! N(E_F): 2.03 states/eV per cell
&SYSTEM
  ibrav = 0, nat = 4, ntyp = 3
/
ATOMIC_SPECIES
Te 127.60 Te.upf
Ga 69.72 Ga.upf
Pm 145.00 Pm.upf
CELL_PARAMETERS angstrom
-0.683 -2.847 -3.040
-1.313 -3.884 1.003
-7.993 0.094 -1.221
ATOMIC_POSITIONS crystal
Te 0.500 0.500 0.500
Ga 0.000 0.000 0.000
Pm 0.254 0.254 0.239
Pm 0.746 0.746 0.761

Relative calculated energies, zero for the most stable structure, unit meV per atom: *one* 274; *two* 155; *three* 0.

*one*
! Pm2GaTe | the Alexandria database | PBE | relaxed; values from VASP
! symmetry: Pmmn
! N(E_F): 6.68 states/eV per cell
&SYSTEM
  ibrav = 0, nat = 8, ntyp = 3
/
ATOMIC_SPECIES
Pm 145.00 Pm.upf
Ga 69.72 Ga.upf
Te 127.60 Te.upf
CELL_PARAMETERS angstrom
-4.171 -0.417 -0.058
0.620 -6.009 -1.395
0.081 -2.066 8.933
ATOMIC_POSITIONS crystal
Pm 0.000 0.000 0.861
Pm 0.000 0.000 0.377
Pm 0.500 0.500 0.623
Pm 0.500 0.500 0.139
Ga 0.500 0.000 0.622
Ga 0.000 0.500 0.378
Te 0.000 0.500 0.880
Te 0.500 0.000 0.120

*two*
! Pm2GaTe | the Alexandria database | PBE | relaxed; values from VASP
! symmetry: Cmcm
! N(E_F): 6.35 states/eV per cell
&SYSTEM
  ibrav = 0, nat = 8, ntyp = 3
/
ATOMIC_SPECIES
Pm 145.00 Pm.upf
Ga 69.72 Ga.upf
Te 127.60 Te.upf
CELL_PARAMETERS angstrom
-1.856 -2.022 -3.278
-2.958 -1.878 2.834
-5.893 10.216 -2.964
ATOMIC_POSITIONS crystal
Pm 0.750 0.669 0.339
Pm 0.250 0.331 0.661
Pm 0.750 0.938 0.876
Pm 0.250 0.062 0.124
Ga 0.250 0.463 0.925
Ga 0.750 0.537 0.075
Te 0.250 0.194 0.388
Te 0.750 0.806 0.612

*three*
! Pm2GaTe | the Alexandria database | PBE | relaxed; values from VASP
! symmetry: R3m
! N(E_F): 3.16 states/eV per cell
&SYSTEM
  ibrav = 0, nat = 4, ntyp = 3
/
ATOMIC_SPECIES
Pm 145.00 Pm.upf
Ga 69.72 Ga.upf
Te 127.60 Te.upf
CELL_PARAMETERS angstrom
4.129 0.000 0.000
2.064 3.576 0.000
2.064 1.192 8.208
ATOMIC_POSITIONS crystal
Pm 0.084 0.084 0.748
Pm 0.249 0.249 0.253
Ga 0.499 0.499 0.503
Te 0.668 0.668 0.997

Relative calculated energies, zero for the most stable structure, unit meV per atom: *one* 83; *two* 0; *three* 213.